# Pm3Si2Pd3

A geometry-optimized Pm3Si2Pd3 structure (GGA-PBE, Alexandria via LeMat-Bulk).

abc: 5.6604 5.6604 15.0329
angles: 90.00 90.00 135.25
Fractional coordinates of all 16 atoms:
Pm1 0.0785 0.9215 0.6055
Pm2 0.0785 0.9215 0.8945
Pm3 0.3761 0.6239 0.7500
Pm4 0.6239 0.3761 0.2500
Pm5 0.9215 0.0785 0.1055
Pm6 0.9215 0.0785 0.3945
Si1 0.2083 0.7917 0.1045
Si2 0.2083 0.7917 0.3955
Si3 0.7917 0.2083 0.6045
Si4 0.7917 0.2083 0.8955
Pd1 0.3297 0.6703 0.2500
Pd2 0.3596 0.6404 0.5348
Pd3 0.3596 0.6404 0.9652
Pd4 0.6404 0.3596 0.0348
Pd5 0.6404 0.3596 0.4652
Pd6 0.6703 0.3297 0.7500

Results
**Space group**: Cmcm
**Formation energy without anion corrections**: -0.87 eV per atom
**Energy above the most stable polymorph in this dataset**: 0.17 eV/f.u.
**Total magnetization**: 0.000 μB/atom
**Electronic total energy**: -5.952 eV per atom

# Pm8Si2Pd

A geometry-optimized Pm8Si2Pd structure (GGA-PBE, Alexandria via LeMat-Bulk).

abc: 9.8887 9.8887 6.9240
angles: 103.34 103.34 28.25
Fractional coordinates of all 11 atoms:
Pm1 0.0251 0.0251 0.2808
Pm2 0.2152 0.2152 0.8278
Pm3 0.3414 0.3414 0.5079
Pm4 0.4036 0.4036 0.0220
Pm5 0.5964 0.5964 0.9780
Pm6 0.6586 0.6586 0.4921
Pm7 0.7848 0.7848 0.1722
Pm8 0.9749 0.9749 0.7192
Si1 0.1830 0.1830 0.2480
Si2 0.8170 0.8170 0.7520
Pd1 0.5000 0.5000 0.5000

Results
**Space group**: C2/m
**Formation energy without anion corrections**: -0.37 eV per atom
**Total magnetization**: 0.000 μB/atom
**Electronic total energy**: -5.287 eV per atom

# Pm2Si4Pd3

A geometry-optimized Pm2Si4Pd3 structure (GGA-PBE, Alexandria via LeMat-Bulk).

abc: 8.0654 8.0654 7.4090
angles: 90.00 90.00 138.73
Fractional coordinates of all 18 atoms:
Pm1 0.1058 0.8942 0.9053
Pm2 0.3942 0.6058 0.4053
Pm3 0.6058 0.3942 0.5947
Pm4 0.8942 0.1058 0.0947
Si1 0.1796 0.8204 0.5196
Si2 0.1874 0.3126 0.7500
Si3 0.3126 0.1874 0.2500
Si4 0.3204 0.6796 0.0196
Si5 0.6796 0.3204 0.9804
Si6 0.6874 0.8126 0.7500
Si7 0.8126 0.6874 0.2500
Si8 0.8204 0.1796 0.4804
Pd1 0.0000 0.0000 0.5000
Pd2 0.0243 0.4757 0.7500
Pd3 0.4757 0.0243 0.2500
Pd4 0.5000 0.5000 0.0000
Pd5 0.5243 0.9757 0.7500
Pd6 0.9757 0.5243 0.2500

Results
**Space group**: Cmce
**Formation energy without anion corrections**: -0.78 eV per atom
**Total magnetization**: 0.000 μB/atom
**Electronic total energy**: -5.973 eV per atom

# Pm2SiPd2

A geometry-optimized Pm2SiPd2 structure (GGA-PBE, Alexandria via LeMat-Bulk).

abc: 5.6723 5.6723 5.6723
angles: 135.29 120.64 77.27
Fractional coordinates of all 5 atoms:
Pm1 0.1973 0.1973 0.0000
Pm2 0.8027 0.8027 0.0000
Si1 0.5000 0.0000 0.5000
Pd1 0.2467 0.5000 0.7467
Pd2 0.7533 0.5000 0.2533

Results
**Space group**: Immm
**Formation energy without anion corrections**: -0.82 eV per atom
**Energy above the most stable polymorph in this dataset**: 0.08 eV/f.u.
**Total magnetization**: 0.000 μB/atom
**Electronic total energy**: -5.883 eV per atom

# PmSiPd3

A geometry-optimized PmSiPd3 structure (GGA-PBE, Alexandria via LeMat-Bulk).

abc: 4.6308 4.6308 4.6308
angles: 90.00 90.00 90.00
Fractional coordinates of all 5 atoms:
Pm1 0.0000 0.0000 0.0000
Si1 0.5000 0.5000 0.5000
Pd1 0.0000 0.5000 0.5000
Pd2 0.5000 0.0000 0.5000
Pd3 0.5000 0.5000 0.0000

Results
**Space group**: Pm-3m
**Formation energy without anion corrections**: -0.63 eV per atom
**Energy above the most stable polymorph in this dataset**: 0.52 eV/f.u.
**Total magnetization**: 0.000 μB/atom
**Electronic total energy**: -5.777 eV per atom

# Pm4SiPd

A geometry-optimized Pm4SiPd structure (GGA-PBE, Alexandria via LeMat-Bulk).

abc: 4.9374 4.9374 7.2362
angles: 90.06 90.06 90.00
Fractional coordinates of all 6 atoms:
Pm1 0.0002 0.5005 0.2495
Pm2 0.9998 0.4995 0.7505
Pm3 0.5005 0.0002 0.2495
Pm4 0.4995 0.9998 0.7505
Si1 0.0000 0.0000 0.0000
Pd1 0.5000 0.5000 0.5000

Results
**Space group**: C2/m
**Formation energy without anion corrections**: -0.39 eV per atom
**Total magnetization**: 0.000 μB/atom
**Electronic total energy**: -5.325 eV per atom

# PmSi2Pd6

A geometry-optimized PmSi2Pd6 structure (GGA-PBE, Alexandria via LeMat-Bulk).

abc: 5.5971 5.5971 6.3259
angles: 90.00 90.00 120.00
Fractional coordinates of all 9 atoms:
Pm1 0.0000 0.0000 0.0000
Si1 0.3333 0.6667 0.5000
Si2 0.6667 0.3333 0.5000
Pd1 0.0000 0.5000 0.2198
Pd2 0.0000 0.5000 0.7802
Pd3 0.5000 0.0000 0.2198
Pd4 0.5000 0.0000 0.7802
Pd5 0.5000 0.5000 0.2198
Pd6 0.5000 0.5000 0.7802

Results
**Space group**: P6/mmm
**Formation energy without anion corrections**: -0.60 eV per atom
**Total magnetization**: 0.000 μB/atom
**Electronic total energy**: -5.796 eV per atom

# Pm2SiPd3

A geometry-optimized Pm2SiPd3 structure (GGA-PBE, Alexandria via LeMat-Bulk).

abc: 3.7230 4.3992 7.7426
angles: 90.00 90.00 90.00
Fractional coordinates of all 6 atoms:
Pm1 0.0000 0.0000 0.0000
Pm2 0.0000 0.5000 0.4855
Si1 0.5000 0.5000 0.8140
Pd1 0.5000 0.0000 0.3308
Pd2 0.5000 0.0000 0.6815
Pd3 0.5000 0.5000 0.1264

Results
**Space group**: Pmm2
**Formation energy without anion corrections**: -0.83 eV per atom
**Energy above the most stable polymorph in this dataset**: 0.00 eV/f.u.
**Total magnetization**: 0.000 μB/atom
**Electronic total energy**: -5.917 eV per atom

Number 1: density of states at the Fermi level 9.2 states/eV per cell. Number 2: density of states at the Fermi level 10.2 states/eV per cell. Number 3: density of states at the Fermi level 7.5 states/eV per cell. Number 4: density of states at the Fermi level 3.2 states/eV per cell. Number 5: density of states at the Fermi level 2.5 states/eV per cell. Number 6: density of states at the Fermi level 7.3 states/eV per cell. Number 7: density of states at the Fermi level 3.8 states/eV per cell. Number 8: density of states at the Fermi level 3.7 states/eV per cell.